VASP calculation (GGA-PBE) on a relaxed KAl2OsO8 crystal.

Summary:
ΔE_f (raw) (eV per atom): -1.669

Unit cell a=6.4167 b=6.4819 c=7.2987 alpha=90.00 beta=93.72 gamma=90.00
Space group C2/m (No. 12)
Symmetry-distinct sites (fractional):
1 K 0.0000 0.0000 0.0000 [2 per cell]
2 Al 0.0047 0.5000 0.6870 [4 per cell]
3 Os 0.0000 0.0000 0.5000 [2 per cell]
4 O 0.0000 0.3036 0.5000 [4 per cell]
5 O 0.0793 0.5000 0.9320 [4 per cell]
6 O 0.1974 0.0000 0.3271 [4 per cell]
7 O 0.2170 0.0000 0.6902 [4 per cell]

---

VASP calculation (GGA-PBE) on a relaxed Cd3H4Rh4 crystal.

Summary:
Polymorph energy (0 for the lowest one) (eV/atom): 0.0000

Unit cell a=28.6596 b=3.0530 c=3.0590 alpha=90.00 beta=95.98 gamma=90.00
Space group C2/m (No. 12)
Symmetry-distinct sites (fractional):
1 Cd 0.0000 0.0000 0.0000 [2 per cell]
2 Cd 0.1474 0.0000 0.6492 [4 per cell]
3 H 0.0903 0.5000 0.0884 [4 per cell]
4 H 0.2504 0.0000 0.2513 [4 per cell]
5 Rh 0.0639 0.5000 0.5629 [4 per cell]
6 Rh 0.2139 0.5000 0.2140 [4 per cell]

---

VASP calculation (GGA-PBE) on a relaxed Ce3Sb2As crystal.

Summary:
ΔE_f (raw) (eV per atom): -1.146

Unit cell a=4.3836 b=6.2491 c=13.2690 alpha=90.00 beta=90.00 gamma=90.00
Space group Immm (No. 71)
Symmetry-distinct sites (fractional):
1 Ce 0.0000 0.0000 0.0000 [2 per cell]
2 Ce 0.0000 0.0000 0.3445 [4 per cell]
3 Sb 0.0000 0.5000 0.3290 [4 per cell]
4 As 0.0000 0.5000 0.0000 [2 per cell]

---

VASP calculation (GGA-PBE) on a relaxed In2ReBr crystal.

Summary:
ΔE_f (raw) (eV per atom): 0.913
Polymorph energy (0 for the lowest one) (eV/atom): 0.5925

Unit cell a=3.0360 b=5.2622 c=5.2889 alpha=90.00 beta=90.00 gamma=90.00
Space group Pmmm (No. 47)
Symmetry-distinct sites (fractional):
1 In 0.0000 0.0000 0.0000 [1 per cell]
2 In 0.5000 0.0000 0.5000 [1 per cell]
3 Re 0.0000 0.5000 0.5000 [1 per cell]
4 Br 0.5000 0.5000 0.0000 [1 per cell]

---

VASP calculation (GGA-PBE) on a relaxed DyYThZn crystal.

Summary:
Formation enthalpy at 0 K (eV/atom): -0.167

Unit cell a=3.5659 b=3.5659 c=8.5801 alpha=90.00 beta=90.00 gamma=90.00
Space group P4mm (No. 99)
Symmetry-distinct sites (fractional):
1 Dy 0.0000 0.0000 0.0000 [1 per cell]
2 Y 0.0000 0.0000 0.4210 [1 per cell]
3 Th 0.5000 0.5000 0.7120 [1 per cell]
4 Zn 0.5000 0.5000 0.2093 [1 per cell]

---

VASP calculation (GGA-PBE) on a relaxed MnGaSCl2 crystal.

Summary:
ΔE_f (raw) (eV per atom): -0.226
Polymorph energy (0 for the lowest one) (eV/atom): 0.0000

Unit cell a=5.5429 b=5.5429 c=5.3276 alpha=90.00 beta=90.00 gamma=90.00
Space group P4/mmm (No. 123)
Symmetry-distinct sites (fractional):
1 Mn 0.0000 0.0000 0.0000 [1 per cell]
2 Ga 0.5000 0.5000 0.5000 [1 per cell]
3 S 0.0000 0.0000 0.5000 [1 per cell]
4 Cl 0.0000 0.5000 0.0000 [2 per cell]

---

no.,E (eV for the cell shown),M_tot (μB/atom)
1,-159.0,0.084
2,-92.4,0.000
3,-75.1,0.409
4,-15.9,0.000
5,-20.4,0.000
6,-21.1,0.800